No. 1
Compound: Rb2TlNCl6
Source: the Alexandria database
Functional: GGA-PBE
Structure: relaxed

Lattice parameters (Å, degrees): 8.090 8.090 9.094 90.00 90.00 90.00
Space group I4/mmm (No. 139)
Unique sites:
Rb  0.000  0.500  0.250 [4 per cell]
Tl  0.000  0.000  0.000 [2 per cell]
N  0.000  0.000  0.500 [2 per cell]
Cl  0.000  0.000  0.285 [4 per cell]
Cl  0.227  0.227  0.000 [8 per cell]

Total DFT energy (no corrections), eV/atom: -2.976
Formation energy (no corrections), kJ/mol of formula units: -584
Spin magnetization, μB per formula unit: 2.0

=====

No. 2
Compound: Ba2PtI
Source: the Alexandria database
Functional: GGA-PBE
Structure: relaxed

Lattice parameters (Å, degrees): 8.670 8.670 9.633 90.00 90.00 90.00
Space group I-42d (No. 122)
Unique sites:
Ba  0.201  0.250  0.125 [8 per cell]
Pt  0.000  0.000  0.000 [4 per cell]
I  0.000  0.000  0.500 [4 per cell]

Total DFT energy (no corrections), eV/atom: -3.744
Energy above the most stable polymorph in this dataset, meV/atom: 260.9
Formation energy (no corrections), kJ/mol of formula units: -342
Spin magnetization, μB per formula unit: 0.9

=====

No. 3
Compound: MnPt2Au
Source: the Alexandria database
Functional: GGA-PBE
Structure: relaxed

Lattice parameters (Å, degrees): 2.8428 2.8428 27.4162 90.00 90.00 120.00
Space group R-3m (No. 166, hexagonal axes)
Unique sites:
Mn  0.0000  0.0000  0.0000 [3 per cell]
Pt  0.0000  0.0000  0.2572 [6 per cell]
Au  0.0000  0.0000  0.5000 [3 per cell]

Total DFT energy (no corrections), eV/atom: -6.314
Formation energy, eV per atom: -0.182
Spin magnetization, μB per formula unit: 4.6

=====

No. 4
Compound: KLiB2
Source: the Alexandria database
Functional: GGA-PBE
Structure: relaxed

Lattice parameters (Å, degrees): 3.559 3.559 17.588 90.00 90.00 90.00
Space group I4_1/amd (No. 141, origin choice 2)
Unique sites:
K  0.000  0.250  0.375 [4 per cell]
Li  0.000  0.250  0.875 [4 per cell]
B  0.000  0.000  0.000 [8 per cell]

Total DFT energy (no corrections), eV/atom: -3.290
Formation energy, eV per atom: 0.801
Energy above the most stable polymorph in this dataset, meV/atom: 0.0
Spin magnetization, μB per formula unit: 0.0

=====

No. 5
Compound: V12Os5Au3
Source: the Alexandria database
Functional: GGA-PBE
Structure: relaxed

Lattice parameters (Å, degrees): 14.463 14.463 14.463 90.00 90.00 90.00
Space group Ia-3d (No. 230)
Unique sites:
V  0.016  0.070  0.652 [96 per cell]
Os  0.000  0.000  0.000 [16 per cell]
Os  0.000  0.250  0.375 [24 per cell]
Au  0.000  0.250  0.125 [24 per cell]

Total DFT energy (no corrections), eV/atom: -7.907
Formation energy, eV per atom: 0.863
Spin magnetization, μB per formula unit: 12.8

=====

No. 6
Compound: SmTmPbAu
Source: the Alexandria database
Functional: GGA-PBE
Structure: relaxed

Lattice parameters (Å, degrees): 7.472 7.472 7.472 90.00 90.00 90.00
Space group F-43m (No. 216)
Unique sites:
Sm  0.000  0.000  0.000 [4 per cell]
Tm  0.000  0.000  0.500 [4 per cell]
Pb  0.250  0.250  0.750 [4 per cell]
Au  0.250  0.250  0.250 [4 per cell]

Total DFT energy (no corrections), eV/atom: -4.634
Formation energy, eV per atom: -0.590
Spin magnetization, μB per formula unit: 0.7

=====

No. 7
Compound: Ce2NpTe5
Source: the Alexandria database
Functional: GGA-PBE
Structure: relaxed

Lattice parameters (Å, degrees): 8.611 13.515 4.465 90.00 90.00 90.00
Space group Pbam (No. 55)
Unique sites:
Ce  0.035  0.177  0.000 [4 per cell]
Np  0.000  0.500  0.500 [2 per cell]
Te  0.000  0.000  0.500 [2 per cell]
Te  0.176  0.700  0.500 [4 per cell]
Te  0.177  0.399  0.000 [4 per cell]

Total DFT energy (no corrections), eV/atom: -6.111
Formation energy (no corrections), kJ/mol of formula units: -808
Spin magnetization, μB per formula unit: 5.0

=====

No. 8
Compound: Sr2TiSb3Pd4
Source: the Alexandria database
Functional: GGA-PBE
Structure: relaxed

Lattice parameters (Å, degrees): 4.509 4.509 11.236 90.00 90.00 90.00
Space group P-4m2 (No. 115)
Unique sites:
Sr  0.000  0.500  0.241 [2 per cell]
Ti  0.000  0.000  0.500 [1 per cell]
Sb  0.000  0.500  0.867 [2 per cell]
Sb  0.500  0.500  0.500 [1 per cell]
Pd  0.000  0.000  0.000 [1 per cell]
Pd  0.000  0.500  0.629 [2 per cell]
Pd  0.500  0.500  0.000 [1 per cell]

Total DFT energy (no corrections), eV/atom: -5.170
Formation energy (no corrections), kJ/mol of formula units: -705
Spin magnetization, μB per formula unit: 0.8

=====

No. 9
Compound: Ca3Pu2UAs6
Source: the Alexandria database
Functional: GGA-PBE
Structure: relaxed

Lattice parameters (Å, degrees): 7.264 12.579 7.207 90.00 109.63 90.00
Space group C2/m (No. 12)
Unique sites:
Ca  0.000  0.000  0.000 [2 per cell]
Ca  0.000  0.331  0.000 [4 per cell]
Pu  0.000  0.166  0.500 [4 per cell]
U  0.000  0.500  0.500 [2 per cell]
As  0.239  0.338  0.729 [8 per cell]
As  0.248  0.500  0.272 [4 per cell]

Total DFT energy (no corrections), eV/atom: -7.188
Formation energy, eV per atom: -1.033
Spin magnetization, μB per formula unit: 10.0

=====

No. 10
Compound: CaYSb4
Source: the Alexandria database
Functional: GGA-PBE
Structure: relaxed

Lattice parameters (Å, degrees): 8.938 8.938 8.938 90.00 90.00 90.00
Space group F-43m (No. 216)
Unique sites:
Ca  0.000  0.000  0.000 [4 per cell]
Y  0.250  0.250  0.250 [4 per cell]
Sb  0.125  0.125  0.625 [16 per cell]

Total DFT energy (no corrections), eV/atom: -4.341
Formation energy (no corrections), kJ/mol of formula units: -105
Spin magnetization, μB per formula unit: 0.0

=====

No. 11
Compound: Ba2VHgPt
Source: the Alexandria database
Functional: GGA-PBE
Structure: relaxed

Lattice parameters (Å, degrees): 6.029 6.029 5.067 90.00 90.00 90.00
Space group P4/mmm (No. 123)
Unique sites:
Ba  0.000  0.500  0.000 [2 per cell]
V  0.000  0.000  0.000 [1 per cell]
Hg  0.000  0.000  0.500 [1 per cell]
Pt  0.500  0.500  0.500 [1 per cell]

Total DFT energy (no corrections), eV/atom: -3.289
Formation energy, eV per atom: 0.572
Spin magnetization, μB per formula unit: 4.3

=====

No. 12
Compound: InSb2IBr
Source: the Alexandria database
Functional: GGA-PBE
Structure: relaxed

Lattice parameters (Å, degrees): 5.514 5.514 7.478 90.00 90.00 90.00
Space group P4/mmm (No. 123)
Unique sites:
In  0.000  0.000  0.000 [1 per cell]
Sb  0.000  0.500  0.500 [2 per cell]
I  0.500  0.500  0.000 [1 per cell]
Br  0.500  0.500  0.500 [1 per cell]

Total DFT energy (no corrections), eV/atom: -2.292
Energy above the most stable polymorph in this dataset, meV/atom: 69.0
Formation energy (no corrections), kJ/mol of formula units: 265
Spin magnetization, μB per formula unit: 2.3